(1)
Material: FeSiH
Method: DFT, GGA-PBE
State: optimized geometry

Summary:
distance to the lowest polymorph of the same formula = 0.103 eV per atom
total DFT energy (no corrections) = -17.185 eV per cell
symmetry = No. 6

Cell: 2.8636 2.5547 3.8358 Å, 90.00 67.21 90.00°
Element x y z (fractional)
H: 0.4704 0.3616 0.7796
Si: 0.3556 0.3616 0.3302
Fe: 0.0661 0.8615 0.9271

(2)
Material: Fe4Si2H
Method: DFT, GGA-PBE
State: optimized geometry

Summary:
total DFT energy (no corrections) = -48.010 eV per cell
symmetry = No. 139

Cell: 3.4435 3.4435 6.6695 Å, 75.04 75.04 90.00°
Each line ends with the local moment (μB).
Element x y z (fractional)
H: 0.0000 0.0000 0.0000  -0.02
Si: 0.1466 0.1466 0.7067  -0.09
Si: 0.8534 0.8534 0.2933  -0.09
Fe: 0.3286 0.3286 0.3429  1.58
Fe: 0.6714 0.6714 0.6571  1.58
Fe: 0.0000 0.5000 0.0000  1.87
Fe: 0.5000 0.0000 0.0000  1.87

(3)
Material: Fe2Si2H
Method: DFT, GGA-PBE
State: optimized geometry

Summary:
total DFT energy (no corrections) = -63.255 eV per cell
symmetry = No. 127

Cell: 5.2374 5.2374 3.6417 Å, 90.00 90.00 90.00°
Each line ends with the local moment (μB).
Element x y z (fractional)
H: 0.0000 0.0000 0.0000  -0.01
H: 0.5000 0.5000 0.0000  -0.01
Si: 0.1588 0.6588 0.5000  -0.02
Si: 0.6588 0.8412 0.5000  -0.02
Si: 0.8412 0.3412 0.5000  -0.02
Si: 0.3412 0.1588 0.5000  -0.02
Fe: 0.3333 0.8333 0.0000  0.54
Fe: 0.8333 0.6667 0.0000  0.52
Fe: 0.6667 0.1667 0.0000  0.53
Fe: 0.1667 0.3333 0.0000  0.52

(4)
Material: Fe2SiH
Method: DFT, GGA-PBE
State: optimized geometry

Summary:
total DFT energy (no corrections) = -24.469 eV per cell
symmetry = No. 166

Cell: 3.9977 3.9977 4.4372 Å, 63.23 63.23 60.00°
Each line ends with the local moment (μB).
Element x y z (fractional)
H: 0.0000 0.0000 0.0000  -0.03
Si: 0.5000 0.5000 0.5000  -0.10
Fe: 0.1397 0.1397 0.5810  1.61
Fe: 0.8603 0.8603 0.4190  1.61

(5)
Material: FeSiH
Method: DFT, GGA-PBE
State: optimized geometry

Summary:
distance to the lowest polymorph of the same formula = 0.141 eV per atom
total DFT energy (no corrections) = -34.140 eV per cell
symmetry = No. 2

Cell: 2.7953 2.7948 10.2931 Å, 81.61 89.64 60.00°
Each line ends with the local moment (μB).
Element x y z (fractional)
H: 0.7038 0.6112 0.6038  0.00
H: 0.2962 0.3888 0.3962  0.00
Si: 0.2477 0.4927 0.2482  -0.03
Si: 0.7523 0.5073 0.7518  -0.03
Fe: 0.8639 0.2673 0.0943  0.88
Fe: 0.1361 0.7327 0.9057  0.88

(6)
Material: FeSiH
Method: DFT, GGA-PBE
State: optimized geometry

Summary:
distance to the lowest polymorph of the same formula = 0.000 eV per atom
total DFT energy (no corrections) = -17.493 eV per cell
symmetry = No. 38

Cell: 4.5801 2.8229 3.7283 Å, 67.80 54.45 107.96°
Element x y z (fractional)
H: 0.8103 0.3041 0.9122
Si: 0.3092 0.4845 0.0519
Fe: 0.8094 0.6881 0.1438

(7)
Material: FeSiH
Method: DFT, GGA-PBE
State: optimized geometry

Summary:
distance to the lowest polymorph of the same formula = 0.085 eV per atom
total DFT energy (no corrections) = -17.239 eV per cell
symmetry = No. 160

Cell: 2.7760 2.7740 4.3264 Å, 108.62 90.00 59.99°
Element x y z (fractional)
H: 0.8588 0.2820 0.6712
Si: 0.0574 0.8854 0.0767
Fe: 0.2538 0.4935 0.4910

(8)
Material: Fe2SiH2
Method: DFT, GGA-PBE
State: optimized geometry

Summary:
total DFT energy (no corrections) = -29.609 eV per cell
symmetry = No. 139

Cell: 2.7692 2.7692 5.2578 Å, 74.73 74.73 90.00°
Each line ends with the local moment (μB).
Element x y z (fractional)
H: 0.7500 0.2500 0.5000  -0.01
H: 0.2500 0.7500 0.5000  -0.01
Si: 0.0000 0.0000 0.0000  -0.05
Fe: 0.3599 0.3599 0.2802  0.80
Fe: 0.6401 0.6401 0.7198  0.80

(9)
Material: FeSi2SnH
Method: DFT, GGA-PBE
State: optimized geometry

Summary:
total DFT energy (no corrections) = -24.525 eV per cell
symmetry = No. 123

Cell: 4.2338 4.9389 4.2338 Å, 90.00 90.00 90.00°
Each line ends with the local moment (μB).
Element x y z (fractional)
H: 0.5000 0.5000 0.5000  0.00
Si: 0.0000 0.0000 0.5000  0.01
Si: 0.5000 0.0000 0.0000  0.00
Sn: 0.0000 0.5000 0.0000  0.01
Fe: 0.0000 0.0000 0.0000  0.09

(10)
Material: Ta2FeSiH
Method: DFT, GGA-PBE
State: optimized geometry

Summary:
total DFT energy (no corrections) = -41.746 eV per cell
symmetry = No. 123

Cell: 4.0901 4.0901 3.7213 Å, 90.00 90.00 90.00°
Each line ends with the local moment (μB).
Element x y z (fractional)
H: 0.0000 0.0000 0.0000  0.00
Si: 0.5000 0.5000 0.5000  0.01
Fe: 0.0000 0.0000 0.5000  1.74
Ta: 0.0000 0.5000 0.0000  -0.05
Ta: 0.5000 0.0000 0.0000  -0.05

(11)
Material: TaFe2SiH
Method: DFT, GGA-PBE
State: optimized geometry

Summary:
total DFT energy (no corrections) = -38.334 eV per cell
symmetry = No. 123

Cell: 3.6958 3.6958 4.0608 Å, 90.00 90.00 90.00°
Each line ends with the local moment (μB).
Element x y z (fractional)
H: 0.0000 0.0000 0.0000  -0.01
Si: 0.5000 0.5000 0.5000  0.01
Fe: 0.0000 0.5000 0.0000  2.00
Fe: 0.5000 0.0000 0.0000  2.00
Ta: 0.0000 0.0000 0.5000  -0.05

(12)
Material: TbFeSiH
Method: DFT, GGA-PBE
State: optimized geometry

Summary:
total DFT energy (no corrections) = -49.053 eV per cell
symmetry = No. 129

Cell: 3.9035 3.9035 7.2898 Å, 90.00 90.00 90.00°
Each line ends with the local moment (μB).
Element x y z (fractional)
Tb: 0.5000 0.0000 0.6661  -0.02
Tb: 0.0000 0.5000 0.3339  -0.02
Fe: 0.5000 0.5000 0.0000  0.43
Fe: 0.0000 0.0000 0.0000  0.43
Si: 0.0000 0.5000 0.8411  -0.02
Si: 0.5000 0.0000 0.1589  -0.02
H: 0.0000 0.0000 0.5000  0.00
H: 0.5000 0.5000 0.5000  0.00

(13)
Material: FeSiTc2H
Method: DFT, GGA-PBE
State: optimized geometry

Summary:
total DFT energy (no corrections) = -38.316 eV per cell
symmetry = No. 123

Cell: 4.1174 4.1174 3.2325 Å, 90.00 90.00 90.00°
Each line ends with the local moment (μB).
Element x y z (fractional)
H: 0.0000 0.0000 0.0000  -0.01
Si: 0.5000 0.5000 0.5000  0.00
Tc: 0.0000 0.5000 0.0000  0.17
Tc: 0.5000 0.0000 0.0000  0.17
Fe: 0.0000 0.0000 0.5000  2.02

(14)
Material: FeSiTeH2
Method: DFT, GGA-PBE
State: optimized geometry

Summary:
total DFT energy (no corrections) = -21.717 eV per cell
symmetry = No. 123

Cell: 3.5343 5.0691 3.5343 Å, 90.00 90.00 90.00°
Each line ends with the local moment (μB).
Element x y z (fractional)
H: 0.0000 0.0000 0.5000  0.01
H: 0.5000 0.0000 0.0000  0.00
Si: 0.0000 0.0000 0.0000  -0.03
Te: 0.5000 0.5000 0.5000  0.00
Fe: 0.0000 0.5000 0.0000  0.59

(15)
Material: ThFeSiH
Method: DFT, GGA-PBE
State: optimized geometry

Summary:
total DFT energy (no corrections) = -54.681 eV per cell
symmetry = No. 129

Cell: 4.0362 4.0362 7.3449 Å, 90.00 90.00 90.00°
Element x y z (fractional)
Th: 0.5000 0.0000 0.6855
Th: 0.0000 0.5000 0.3145
Fe: 0.5000 0.5000 0.0000
Fe: 0.0000 0.0000 0.0000
Si: 0.0000 0.5000 0.8497
Si: 0.5000 0.0000 0.1503
H: 0.0000 0.0000 0.5000
H: 0.5000 0.5000 0.5000

(16)
Material: TmFeSiH
Method: DFT, GGA-PBE
State: optimized geometry

Summary:
total DFT energy (no corrections) = -48.742 eV per cell
symmetry = No. 129

Cell: 3.8462 3.8462 7.1336 Å, 90.00 90.00 90.00°
Each line ends with the local moment (μB).
Element x y z (fractional)
Tm: 0.5000 0.0000 0.6617  -0.01
Tm: 0.0000 0.5000 0.3383  -0.01
Fe: 0.5000 0.5000 0.0000  0.68
Fe: 0.0000 0.0000 0.0000  0.68
Si: 0.0000 0.5000 0.8302  -0.03
Si: 0.5000 0.0000 0.1698  -0.03
H: 0.0000 0.0000 0.5000  0.00
H: 0.5000 0.5000 0.5000  0.00

(17)
Material: V2FeSiH
Method: DFT, GGA-PBE
State: optimized geometry

Summary:
total DFT energy (no corrections) = -36.943 eV per cell
symmetry = No. 123

Cell: 3.6947 3.6947 3.7815 Å, 90.00 90.00 90.00°
Each line ends with the local moment (μB).
Element x y z (fractional)
H: 0.0000 0.0000 0.0000  0.00
Si: 0.5000 0.5000 0.5000  -0.02
Fe: 0.0000 0.0000 0.5000  1.68
V: 0.0000 0.5000 0.0000  0.04
V: 0.5000 0.0000 0.0000  0.04

(18)
Material: YFe2SiH
Method: DFT, GGA-PBE
State: optimized geometry

Summary:
total DFT energy (no corrections) = -69.158 eV per cell
symmetry = No. 63

Cell: 3.5175 5.4806 7.1387 Å, 90.00 90.00 108.72°
Each line ends with the local moment (μB).
Element x y z (fractional)
Y: 0.4548 0.9097 0.7500  -0.13
Y: 0.5452 0.0903 0.2500  -0.13
Fe: 0.1683 0.3367 0.9450  1.91
Fe: 0.8317 0.6633 0.0550  1.91
Fe: 0.1683 0.3367 0.5550  1.91
Fe: 0.8317 0.6633 0.4450  1.91
Si: 0.7341 0.4682 0.7500  -0.06
Si: 0.2659 0.5318 0.2500  -0.06
H: 0.0000 0.0000 0.0000  -0.01
H: 0.0000 0.0000 0.5000  -0.01

(19)
Material: Sm12Fe3H5
Method: DFT, GGA-PBE
State: optimized geometry

Summary:
total DFT energy (no corrections) = -401.592 eV per cell
symmetry = No. 230

Cell: 13.1867 13.1867 13.1867 Å, 109.47 109.47 109.47°
Element x y z (fractional)
H: 0.1250 0.3750 0.2500
H: 0.0000 0.5000 0.0000
H: 0.0000 0.0000 0.0000
H: 0.3750 0.2500 0.1250
H: 0.5000 0.0000 0.5000
H: 0.5000 0.5000 0.0000
H: 0.1250 0.7500 0.3750
H: 0.7500 0.1250 0.8750
H: 0.7500 0.6250 0.3750
H: 0.3750 0.1250 0.7500
H: 0.6250 0.8750 0.2500
H: 0.5000 0.5000 0.5000
H: 0.5000 0.0000 0.0000
H: 0.0000 0.0000 0.5000
H: 0.2500 0.3750 0.6250
H: 0.2500 0.8750 0.1250
H: 0.0000 0.5000 0.5000
H: 0.8750 0.2500 0.6250
H: 0.6250 0.7500 0.8750
H: 0.8750 0.6250 0.7500
Fe: 0.7500 0.3750 0.1250
Fe: 0.8750 0.7500 0.1250
Fe: 0.3750 0.7500 0.6250
Fe: 0.2500 0.1250 0.3750
Fe: 0.8750 0.1250 0.2500
Fe: 0.3750 0.6250 0.2500
Fe: 0.6250 0.3750 0.7500
Fe: 0.1250 0.8750 0.7500
Fe: 0.7500 0.8750 0.6250
Fe: 0.6250 0.2500 0.3750
Fe: 0.1250 0.2500 0.8750
Fe: 0.2500 0.6250 0.8750
Sm: 0.7193 0.1238 0.0320
Sm: 0.3127 0.5320 0.4082
Sm: 0.9680 0.3762 0.2807
Sm: 0.5320 0.2193 0.1238
Sm: 0.5955 0.7193 0.6873
Sm: 0.9680 0.5918 0.1873
Sm: 0.3127 0.7807 0.4045
Sm: 0.0918 0.9045 0.1238
Sm: 0.5918 0.9680 0.6873
Sm: 0.7193 0.5955 0.1873
Sm: 0.7807 0.4680 0.3762
Sm: 0.8127 0.9082 0.0320
Sm: 0.1238 0.7193 0.5320
Sm: 0.3762 0.4082 0.0955
Sm: 0.0955 0.9082 0.3762
Sm: 0.4045 0.1238 0.5918
Sm: 0.0955 0.1873 0.2193
Sm: 0.4680 0.6873 0.0918
Sm: 0.8127 0.9045 0.2807
Sm: 0.1238 0.4045 0.0918
Sm: 0.3762 0.9680 0.7807
Sm: 0.5918 0.6238 0.4045
Sm: 0.9082 0.8127 0.5320
Sm: 0.7807 0.3127 0.9045
Sm: 0.4082 0.3762 0.5955
Sm: 0.0918 0.1873 0.4680
Sm: 0.2193 0.6873 0.0955
Sm: 0.1873 0.0955 0.7193
Sm: 0.6238 0.0320 0.2193
Sm: 0.8762 0.5955 0.9082
Sm: 0.5320 0.3127 0.9082
Sm: 0.5955 0.8762 0.4082
Sm: 0.9045 0.8127 0.7807
Sm: 0.9045 0.0918 0.6238
Sm: 0.8762 0.2807 0.4680
Sm: 0.1873 0.0918 0.9680
Sm: 0.6238 0.5918 0.9045
Sm: 0.4082 0.0320 0.3127
Sm: 0.2807 0.4045 0.8127
Sm: 0.2193 0.5320 0.6238
Sm: 0.9082 0.0955 0.8762
Sm: 0.6873 0.2193 0.5955
Sm: 0.4680 0.7807 0.8762
Sm: 0.0320 0.4082 0.8127
Sm: 0.4045 0.2807 0.3127
Sm: 0.0320 0.6238 0.7193
Sm: 0.6873 0.4680 0.5918
Sm: 0.2807 0.8762 0.9680

(20)
Material: SmFeH
Method: DFT, GGA-PBE
State: optimized geometry

Summary:
total DFT energy (no corrections) = -33.634 eV per cell
symmetry = No. 129

Cell: 3.2402 3.2402 8.4417 Å, 90.00 90.00 90.00°
Each line ends with the local moment (μB).
Element x y z (fractional)
H: 0.5000 0.0000 0.0952  0.01
H: 0.0000 0.5000 0.9048  0.01
Fe: 0.0000 0.5000 0.5536  2.54
Fe: 0.5000 0.0000 0.4464  2.54
Sm: 0.0000 0.5000 0.1878  -0.21
Sm: 0.5000 0.0000 0.8122  -0.21

(21)
Material: SmFeH5
Method: DFT, GGA-PBE
State: optimized geometry

Summary:
total DFT energy (no corrections) = -61.563 eV per cell
symmetry = No. 15

Cell: 3.5539 3.5539 11.2120 Å, 99.05 99.05 120.28°
Each line ends with the local moment (μB).
Element x y z (fractional)
Sm: 0.9160 0.5840 0.2500  -0.01
Sm: 0.0840 0.4160 0.7500  -0.01
Fe: 0.0000 0.0000 0.0000  1.77
Fe: 0.5000 0.5000 0.5000  1.77
H: 0.1505 0.1525 0.1516  -0.01
H: 0.1542 0.8274 0.4888  -0.04
H: 0.6525 0.6505 0.6516  -0.01
H: 0.5835 0.9165 0.2500  0.00
H: 0.6726 0.3458 0.0112  -0.04
H: 0.3274 0.6542 0.9888  -0.04
H: 0.4165 0.0835 0.7500  0.00
H: 0.3475 0.3495 0.3484  -0.01
H: 0.8458 0.1726 0.5112  -0.04
H: 0.8495 0.8475 0.8484  -0.01

no.,calculated volume (Å³ per cell),D(E_F) (states/eV per cell)
1,26,0.985
2,74,6.714
3,100,5.772
4,52,2.403
5,69,4.043
6,26,0.955
7,27,1.052
8,37,3.744
9,89,3.778
10,62,2.840
11,55,3.111
12,111,4.908
13,55,4.389
14,63,4.369
15,120,6.665
16,106,4.842
17,52,3.185
18,130,5.217
19,1765,52.477
20,89,3.653
21,116,2.857